PIrPtO: relaxed, GGA-PBE.

Geometry as extended XYZ:
```
8
Lattice="-3.4083 -2.1865 1.2141 2.1969 -1.6368 3.2196 -1.6840 4.5465 3.4606" Properties=species:S:1:pos:R:3 pbc="T T T"
P -0.0827 2.3705 4.0370
P -2.2070 0.2643 1.6404
Pt -0.8420 2.2733 1.7303
Pt -1.4477 0.3616 3.9471
Ir 0.9481 -0.4123 1.9189
Ir -3.2377 3.0472 3.7585
O -0.6057 -1.9117 2.2168
O 0.0000 0.0000 0.0000
```

Values from the calculation:
E above lowest polymorph   344 meV/atom
Symmetry   P4/nmm, No. 129


PIrPtO: relaxed, GGA-PBE.

Geometry as extended XYZ:
```
8
Lattice="-2.5277 0.5203 1.2087 -0.7460 -5.9816 1.0148 3.0075 0.6448 6.0116" Properties=species:S:1:pos:R:3 pbc="T T T"
O 0.5897 -1.8815 2.0431
O 1.8621 -3.4145 5.3637
Ir 1.1272 -2.9301 3.6184
Ir -0.3096 -2.7163 0.5217
Pt -1.7005 -4.7424 1.8446
Pt 0.3153 -0.3140 4.1538
P -0.6767 -4.3829 3.8308
P 1.3033 -0.2422 6.1888
```

Values from the calculation:
E above lowest polymorph   3 meV/atom
Symmetry   Pmc2_1, No. 26


PIrPtO: relaxed, GGA-PBE.

Geometry as extended XYZ:
```
8
Lattice="3.9812 0.0000 0.0000 0.0000 3.9812 0.0000 0.0000 0.0000 6.8138" Properties=species:S:1:pos:R:3 pbc="T T T"
P 0.0000 0.0000 4.6991
P 1.9906 1.9906 2.1147
Pt 1.9906 1.9906 5.9748
Pt 0.0000 0.0000 0.8390
O 1.9906 0.0000 0.0000
O 0.0000 1.9906 0.0000
Ir 1.9906 0.0000 3.4069
Ir 0.0000 1.9906 3.4069
```

Values from the calculation:
E above lowest polymorph   298 meV/atom
Symmetry   P4/nmm, No. 129


PIrPtO: relaxed, GGA-PBE.

Geometry as extended XYZ:
```
8
Lattice="2.0744 1.6245 -2.8862 -2.9328 2.4833 -0.7101 2.6691 4.4108 4.4010" Properties=species:S:1:pos:R:3 pbc="T T T"
P 0.3151 3.2840 -0.5708
P 1.9247 3.1807 3.1737
O -1.4664 1.2416 -0.3551
O 1.0372 0.8123 -1.4431
Pt 2.3717 3.0177 0.7574
Pt -0.1318 3.4470 1.8455
Ir 0.4136 0.6835 0.6820
Ir 1.8263 5.7812 1.9209
```

Values from the calculation:
E above lowest polymorph   453 meV/atom
Symmetry   P4/nmm, No. 129


no.,volume (Å³ per atom),final energy (eV/cell)
1,13.3,-49.95
2,14.7,-52.68
3,13.5,-50.32
4,12.9,-49.08